Li4NbFe3O8: relaxed, PBE with a Hubbard U.

SG: C2/m
Total moment: 13.000 μB/f.u.
ρ: 4.351 g cm⁻³
Distance to the lowest polymorph of the same formula: 0.000 eV/atom
Final energy: -6.562 eV per atom

a = 6.0609 Å, b = 6.0609 Å, c = 6.0604 Å
α = 119.50°, β = 119.50°, γ = 60.22°
Positions (direct):
Li1 0.0000 0.0000 0.0000
Li2 0.0000 0.5000 0.5000
Li3 0.5000 0.0000 0.5000
Li4 0.5000 0.5000 0.0000
Nb1 0.0000 0.0000 0.5000
Fe1 0.0000 0.5000 0.0000
Fe2 0.5000 0.0000 0.0000
Fe3 0.5000 0.5000 0.5000
O1 0.2342 0.2342 0.7261
O2 0.2396 0.7506 0.7281
O3 0.2494 0.7604 0.2719
O4 0.2668 0.2668 0.2485
O5 0.7332 0.7332 0.7515
O6 0.7506 0.2396 0.7281
O7 0.7604 0.2494 0.2719
O8 0.7658 0.7658 0.2739